[1]
The following is a DFT calculation (GGA-PBE) of an optimized crystal structure of Ho8AlPt2.

Summary:
* formation energy from the elements: -0.4787 eV per atom
* E: -57.71 eV for the cell shown

Structure (POSCAR):
```
Ho8AlPt2
1.0
4.3358 -6.6737 0.0000
4.3358 6.6737 0.0000
-1.4582 0.0000 5.1995
Ho Al Pt
8 1 2
Cartesian
0.0000 0.0000 0.0000
0.6877 1.6610 3.1921
3.0600 3.2070 0.9937
0.6877 -1.6610 3.1921
3.9704 1.6611 3.9967
3.0600 -3.2070 0.9937
3.9704 -1.6611 3.9967
6.1139 0.0000 1.9868
3.0590 0.0000 0.9888
2.3288 4.0923 3.5930
2.3288 -4.0923 3.5930
```

***

[2]
The following is a DFT calculation (GGA-PBE) of an optimized crystal structure of Sr3ZnHg.

Summary:
* energy above the most stable polymorph in this dataset: 73.0 meV per atom
* formation energy from the elements: -0.2260 eV per atom
* E: -15.50 eV for the cell shown

Structure (POSCAR):
```
Sr3ZnHg
1.0
4.6814 0.0000 0.0000
0.0000 8.2229 0.0000
0.0000 0.0000 10.1969
Sr Zn Hg
6 2 2
Cartesian
1.1704 0.1114 1.7023
1.1704 2.0557 5.6492
1.1704 4.0001 1.7023
3.5111 4.2228 8.4946
3.5111 6.1672 4.5477
3.5111 8.1115 8.4946
1.1704 2.0557 9.0945
3.5111 6.1672 1.1025
1.1704 6.1672 6.9679
3.5111 2.0557 3.2290
```

***

[3]
The following is a DFT calculation (GGA-PBE) of an optimized crystal structure of TaPtRh2.

Summary:
* formation energy from the elements: -0.0759 eV per atom
* E: -65.80 eV for the cell shown

Structure (POSCAR):
```
TaPtRh2
1.0
-1.9201 1.9201 9.0876
1.9201 -1.9201 9.0876
1.9201 1.9201 -9.0876
Ta Pt Rh
2 2 4
Cartesian
0.0000 0.0000 0.0000
0.0000 1.9201 4.5438
1.9201 0.0000 4.5438
0.0000 0.0000 9.0876
0.9600 -0.9417 6.8157
0.9783 0.9600 2.2719
0.9600 2.8618 -2.2719
0.9417 0.9600 11.3595
```

***

[4]
The following is a DFT calculation (GGA-PBE) of an optimized crystal structure of KYF2.

Summary:
* energy above the most stable polymorph in this dataset: 993.6 meV per atom
* formation energy from raw total energies: -1.650 eV per atom
* E: -17.90 eV for the cell shown

Structure (POSCAR):
```
KYF2
1.0
0.0000 3.3123 3.3123
3.3123 0.0000 3.3123
3.3123 3.3123 0.0000
K Y F
1 1 2
Cartesian
0.0000 0.0000 0.0000
3.3123 3.3123 3.3123
1.6561 1.6561 1.6561
4.9684 4.9684 4.9684
```

***

[5]
The following is a DFT calculation (GGA-PBE) of an optimized crystal structure of PmScCuSn.

Summary:
* formation energy from the elements: -0.3935 eV per atom
* E: -20.76 eV for the cell shown

Structure (POSCAR):
```
PmScCuSn
1.0
0.0000 3.5903 3.5903
3.5903 0.0000 3.5903
3.5903 3.5903 0.0000
Pm Sc Cu Sn
1 1 1 1
Cartesian
0.0000 0.0000 0.0000
3.5903 3.5903 3.5903
5.3854 5.3854 5.3854
1.7951 1.7951 1.7951
```

***

[6]
The following is a DFT calculation (GGA-PBE) of an optimized crystal structure of TbTh2Co.

Summary:
* energy above the most stable polymorph in this dataset: 305.8 meV per atom
* formation energy from the elements: 0.1251 eV per atom
* E: -26.08 eV for the cell shown

Structure (POSCAR):
```
TbTh2Co
1.0
1.8670 1.0779 10.0510
-1.8670 1.0779 10.0510
0.0000 -2.1558 10.0510
Tb Th Co
1 2 1
Cartesian
0.0000 0.0000 0.0000
0.0000 0.0000 3.4097
0.0000 0.0000 26.7432
0.0000 0.0000 15.0764
```

***

[7]
The following is a DFT calculation (GGA-PBE) of an optimized crystal structure of LiMg2AlC.

Summary:
* formation energy from the elements: 1.5020 eV per atom
* E: -10.56 eV for the cell shown

Structure (POSCAR):
```
LiMg2AlC
1.0
4.6132 0.0000 0.0000
0.0000 4.6132 0.0000
0.0000 0.0000 4.4186
Li Mg Al C
1 2 1 1
Cartesian
0.0000 0.0000 0.0000
0.0000 2.3066 0.0000
2.3066 0.0000 0.0000
0.0000 0.0000 2.2093
2.3066 2.3066 2.2093
```

***

[8]
The following is a DFT calculation (GGA-PBE) of an optimized crystal structure of PmZrZn4.

Summary:
* energy above the most stable polymorph in this dataset: 30.7 meV per atom
* formation energy from the elements: -0.2938 eV per atom
* E: -20.16 eV for the cell shown

Structure (POSCAR):
```
PmZrZn4
1.0
3.3036 0.0000 0.0000
0.0000 4.4661 0.0000
0.0000 0.0000 7.7892
Pm Zr Zn
1 1 4
Cartesian
0.0000 0.0000 0.0000
0.0000 2.2330 3.8946
1.6518 0.0000 2.6727
1.6518 0.0000 5.1165
1.6518 2.2330 1.4124
1.6518 2.2330 6.3768
```

***

| no. | total magnetization (Bohr magnetons per cell) | volume (Å³ per cell) |
| --- | --- | --- |
| 1 | 0.0 | 301 |
| 2 | 0.0 | 393 |
| 3 | 0.0 | 134 |
| 4 | 1.8 | 73 |
| 5 | 0.0 | 93 |
| 6 | 0.0 | 121 |
| 7 | 0.0 | 94 |
| 8 | 0.0 | 115 |